## ScCr4W (PBE)

Data for an optimized crystal structure of ScCr4W.

Output
ΔE_f	14.0	meV per atom
D(E_F)	0.6104	states/eV per atom

a b c (Å): 4.896 4.896 4.896
angles (deg): 60.00 60.00 60.00
Sites, in units of the cell vectors:
Sc 0.000 0.000 0.000
Cr 0.375 0.375 0.375
Cr 0.375 0.375 0.874
Cr 0.375 0.874 0.375
Cr 0.874 0.375 0.375
W 0.750 0.750 0.750



## NbSbP3 (PBE)

Data for an optimized crystal structure of NbSbP3.

Output
uncorrected formation energy	0.48	eV per atom
D(E_F)	1.0660	states/eV per atom

a b c (Å): 4.845 4.845 4.845
angles (deg): 90.00 90.00 90.00
Sites, in units of the cell vectors:
Nb 0.000 0.000 0.000
Sb 0.500 0.500 0.500
P 0.000 0.000 0.500
P 0.000 0.500 0.000
P 0.500 0.000 0.000



## LiPr2Ir2 (PBE)

Data for an optimized crystal structure of LiPr2Ir2.

Output
ΔE_f	-514.3	meV per atom
D(E_F)	0.5527	states/eV per atom

a b c (Å): 5.626 5.626 5.626
angles (deg): 134.82 115.79 81.95
Sites, in units of the cell vectors:
Li 0.000 0.000 0.000
Pr 0.295 0.795 0.500
Pr 0.705 0.205 0.500
Ir 0.270 0.500 0.770
Ir 0.730 0.500 0.230



## Er2Sn2Pd7 (PBE)

Data for an optimized crystal structure of Er2Sn2Pd7.

Output
ΔE_f	-388.7	meV per atom
D(E_F)	0.2215	states/eV per atom

a b c (Å): 5.743 5.743 7.206
angles (deg): 90.00 90.00 102.34
Sites, in units of the cell vectors:
Er 0.200 0.800 0.000
Er 0.800 0.200 0.000
Sn 0.308 0.308 0.500
Sn 0.692 0.692 0.500
Pd 0.000 0.000 0.292
Pd 0.000 0.000 0.708
Pd 0.000 0.500 0.292
Pd 0.000 0.500 0.708
Pd 0.500 0.000 0.292
Pd 0.500 0.000 0.708
Pd 0.500 0.500 0.000



## HfGeSb (PBE)

Data for an optimized crystal structure of HfGeSb.

Output
uncorrected formation energy	0.04	eV per atom
D(E_F)	0.9667	states/eV per atom

a b c (Å): 4.588 4.588 3.797
angles (deg): 90.00 90.00 120.00
Sites, in units of the cell vectors:
Hf 0.000 0.000 0.000
Ge 0.667 0.333 0.000
Sb 0.333 0.667 0.500



## BaBrCl2 (PBE)

Data for an optimized crystal structure of BaBrCl2.

Output
uncorrected formation energy	-1.50	eV per atom
D(E_F)	1.7860	states/eV per atom

a b c (Å): 5.514 5.514 5.514
angles (deg): 60.00 60.00 60.00
Sites, in units of the cell vectors:
Ba 0.000 0.000 0.000
Br 0.250 0.250 0.250
Cl 0.500 0.500 0.500
Cl 0.750 0.750 0.750



## PmZn5 (PBE)

Data for an optimized crystal structure of PmZn5.

Output
ΔE_f	-146.6	meV per atom
D(E_F)	0.3704	states/eV per atom

a b c (Å): 6.062 6.062 4.472
angles (deg): 90.00 90.00 137.45
Sites, in units of the cell vectors:
Pm 0.000 0.000 0.000
Zn 0.178 0.822 0.500
Zn 0.313 0.687 0.000
Zn 0.500 0.500 0.500
Zn 0.687 0.313 0.000
Zn 0.822 0.178 0.500



## PrNdPb (PBE)

Data for an optimized crystal structure of PrNdPb.

Output
ΔE_f	-237.0	meV per atom
D(E_F)	1.1121	states/eV per atom

a b c (Å): 5.359 5.359 3.979
angles (deg): 90.00 90.00 120.00
Sites, in units of the cell vectors:
Pr 0.000 0.000 0.000
Nd 0.667 0.333 0.559
Pb 0.333 0.667 0.298



Question: What is the D(E_F) in the sixth record?
Answer: 1.7860 states/eV per atom



Question: The highest D(E_F) belongs to which entry?
Answer: BaBrCl2